# 1
The following is a DFT calculation (GGA-PBE) of an optimized crystal structure of TmPuTeO2.

Calculated values
E_form (uncorrected) in eV/atom: -2.7071
D(E_F) in states/eV/atom: 1.501
Spin magnetization in μB per cell: 10.00

a = 4.0442 Å, b = 6.8353 Å, c = 7.7926 Å
α = 107.31°, β = 90.00°, γ = 90.00°
Last column: nearest neighbours and their distance in Å.
Fractional positions:
1 Tm 0.2500 0.6557 0.4144  4 O 2.19-2.24
2 Tm 0.7500 0.3443 0.5856  4 O 2.19-2.24
3 Te 0.7500 0.9529 0.2500  3 Tm 3.14-3.38, 3 Pu 3.22-3.30, 2 O 3.48-3.50
4 Te 0.2500 0.0471 0.7500  3 Tm 3.14-3.38, 3 Pu 3.22-3.30, 2 O 3.48-3.50
5 O 0.7500 0.5165 0.8746  1 Tm 2.21, 3 Pu 2.30-2.31
6 O 0.2500 0.4835 0.1254  1 Tm 2.21, 3 Pu 2.30-2.31
7 O 0.2500 0.4903 0.6165  3 Tm 2.19-2.24, 1 Pu 2.43
8 O 0.7500 0.5097 0.3835  3 Tm 2.19-2.24, 1 Pu 2.43
9 Pu 0.2500 0.6832 0.9333  4 O 2.30-2.43
10 Pu 0.7500 0.3168 0.0667  4 O 2.30-2.43

# 2
The following is a DFT calculation (GGA-PBE) of an optimized crystal structure of PuUTeO2.

Calculated values
E_form (uncorrected) in eV/atom: -2.4027
D(E_F) in states/eV/atom: 1.779
Spin magnetization in μB per cell: 8.00

a = 3.9588 Å, b = 3.9588 Å, c = 6.8578 Å
α = 106.78°, β = 106.78°, γ = 90.00°
Last column: nearest neighbours and their distance in Å.
Fractional positions:
1 O 0.2542 0.7542 0.5085  2 U 2.27, 2 Pu 2.37
2 O 0.7542 0.2542 0.5085  2 U 2.27, 2 Pu 2.37
3 U 0.8428 0.8428 0.6857  4 O 2.27
4 Pu 0.1508 0.1508 0.3017  4 O 2.37
5 Te 0.4978 0.4978 0.9957  4 Pu 3.39, 4 U 3.41, 8 O 3.64-3.77

# 3
The following is a DFT calculation (GGA-PBE) of an optimized crystal structure of PuZn2TeO8.

Calculated values
E_form (uncorrected) in eV/atom: -1.4196
D(E_F) in states/eV/atom: 0.222
Spin magnetization in μB per cell: 1.98

a = 5.7883 Å, b = 5.7883 Å, c = 5.7883 Å
α = 112.05°, β = 112.05°, γ = 104.43°
Last column: nearest neighbours and their distance in Å.
Fractional positions:
1 O 0.9543 0.2543 0.2999  1 Zn 1.94, 1 Te 1.97
2 O 0.2834 0.4717 0.1883  1 Zn 1.96, 1 Pu 2.03
3 O 0.2834 0.0951 0.8117  1 Zn 1.96, 1 Pu 2.03
4 O 0.5283 0.7166 0.8117  1 Zn 1.96, 1 Pu 2.03
5 O 0.7457 0.0457 0.7001  1 Zn 1.94, 1 Te 1.97
6 O 0.3456 0.0457 0.2999  1 Zn 1.94, 1 Te 1.97
7 O 0.9543 0.6544 0.7001  1 Zn 1.94, 1 Te 1.97
8 O 0.9049 0.7166 0.1883  1 Zn 1.96, 1 Pu 2.03
9 Zn 0.7500 0.2500 0.5000  4 O 1.94
10 Zn 0.5000 0.5000 0.0000  4 O 1.96
11 Pu 0.2500 0.7500 0.5000  4 O 2.03
12 Te 0.0000 0.0000 0.0000  4 O 1.97

# 4
The following is a DFT calculation (GGA-PBE) of an optimized crystal structure of PuThO6.

Calculated values
E_form (uncorrected) in eV/atom: -2.4938
Spin magnetization in μB per cell: 0.00

a = 5.5857 Å, b = 5.1255 Å, c = 5.4143 Å
α = 84.16°, β = 79.24°, γ = 56.98°
Last column: nearest neighbours and their distance in Å.
Fractional positions:
1 O 0.8492 0.7081 0.2672  1 Pu 1.98
2 O 0.2511 0.0000 0.2854  1 Pu 1.97
3 O 0.4427 0.7081 0.7328  1 Pu 1.98
4 O 0.1508 0.2919 0.7328  1 Pu 1.98
5 O 0.7489 0.0000 0.7146  1 Pu 1.97
6 O 0.5573 0.2919 0.2672  1 Pu 1.98
7 Th 0.0000 0.0000 0.0000  6 O 2.27-2.35
8 Pu 0.5000 0.0000 0.5000  6 O 1.97-1.98

# 5
The following is a DFT calculation (GGA-PBE) of an optimized crystal structure of PuThO4.

Calculated values
E_form (uncorrected) in eV/atom: -3.4559
D(E_F) in states/eV/atom: 1.107
Spin magnetization in μB per cell: 4.00

a = 3.8990 Å, b = 3.8991 Å, c = 5.5169 Å
α = 89.99°, β = 89.99°, γ = 90.00°
Last column: nearest neighbours and their distance in Å.
Fractional positions:
1 Pu 0.0013 0.9973 0.4981  8 O 2.37
2 O 0.0012 0.4971 0.2550  2 Pu 2.37, 2 Th 2.41
3 O 0.5012 0.9971 0.2550  2 Pu 2.37, 2 Th 2.41
4 O 0.5014 0.9974 0.7413  2 Pu 2.37, 2 Th 2.41
5 O 0.0014 0.4975 0.7413  2 Pu 2.37, 2 Th 2.41
6 Th 0.5013 0.4973 0.9981  8 O 2.41

# 6
The following is a DFT calculation (GGA-PBE) of an optimized crystal structure of Pu2Th2O7.

Calculated values
E_form (uncorrected) in eV/atom: -3.3972
D(E_F) in states/eV/atom: 1.636
Spin magnetization in μB per cell: 20.00

a = 7.8233 Å, b = 7.8233 Å, c = 7.8233 Å
α = 60.00°, β = 60.00°, γ = 60.00°
Last column: nearest neighbours and their distance in Å.
Fractional positions:
1 Th 0.1250 0.6250 0.6250  8 O 2.40-2.45
2 Th 0.6250 0.1250 0.6250  8 O 2.40-2.45
3 Th 0.6250 0.6250 0.6250  8 O 2.40-2.45
4 Th 0.6250 0.6250 0.1250  8 O 2.40-2.45
5 Pu 0.1250 0.1250 0.6250  6 O 2.34
6 Pu 0.1250 0.1250 0.1250  6 O 2.34
7 Pu 0.1250 0.6250 0.1250  6 O 2.34
8 Pu 0.6250 0.1250 0.1250  6 O 2.34
9 O 0.7587 0.7587 0.2413  2 Pu 2.34, 2 Th 2.45
10 O 0.7500 0.7500 0.7500  4 Th 2.40
11 O 0.2413 0.7587 0.2413  2 Pu 2.34, 2 Th 2.45
12 O 0.5000 0.5000 0.5000  4 Th 2.40
13 O 0.7587 0.2413 0.2413  2 Pu 2.34, 2 Th 2.45
14 O 0.2413 0.7587 0.7587  2 Pu 2.34, 2 Th 2.45
15 O 0.7587 0.2413 0.7587  2 Pu 2.34, 2 Th 2.45
16 O 0.0087 0.4913 0.0087  2 Pu 2.34, 2 Th 2.45
17 O 0.2413 0.2413 0.7587  2 Pu 2.34, 2 Th 2.45
18 O 0.4913 0.0087 0.4913  2 Pu 2.34, 2 Th 2.45
19 O 0.4913 0.4913 0.0087  2 Pu 2.34, 2 Th 2.45
20 O 0.0087 0.0087 0.4913  2 Pu 2.34, 2 Th 2.45
21 O 0.0087 0.4913 0.4913  2 Pu 2.34, 2 Th 2.45
22 O 0.4913 0.0087 0.0087  2 Pu 2.34, 2 Th 2.45

# 7
The following is a DFT calculation (GGA-PBE) of an optimized crystal structure of PuThO.

Calculated values
Polymorph energy (0 for the lowest one) in meV per atom: 264
E_form (uncorrected) in eV/atom: -1.1761
D(E_F) in states/eV/atom: 1.559
Spin magnetization in μB per cell: 0.00

a = 3.4612 Å, b = 10.5541 Å, c = 4.0995 Å
α = 88.27°, β = 90.00°, γ = 99.44°
Last column: nearest neighbours and their distance in Å.
Fractional positions:
1 O 0.8785 0.7571 0.7557  2 Th 2.17-2.24, 1 Pu 2.25
2 O 0.1215 0.2429 0.2443  2 Th 2.17-2.24, 1 Pu 2.25
3 Pu 0.7740 0.5479 0.6365  1 O 2.25, 2 Pu 2.30
4 Pu 0.2260 0.4521 0.3635  1 O 2.25, 2 Pu 2.30
5 Th 0.0821 0.1642 0.7598  2 O 2.17-2.24
6 Th 0.9179 0.8358 0.2402  2 O 2.17-2.24

# 8
The following is a DFT calculation (GGA-PBE) of an optimized crystal structure of Pu2ThO11.

Calculated values
E_form (uncorrected) in eV/atom: -2.0793
D(E_F) in states/eV/atom: 0.449
Spin magnetization in μB per cell: 6.03

a = 8.1608 Å, b = 8.5769 Å, c = 8.5770 Å
α = 76.26°, β = 61.59°, γ = 61.59°
Last column: nearest neighbours and their distance in Å.
Fractional positions:
1 O 0.9251 0.4944 0.2534  1 Pu 1.96
2 O 0.5360 0.4826 0.5174  1 O 1.29
3 O 0.5361 0.9903 0.2622  1 Pu 1.95
4 O 0.3043 0.2502 0.5053  1 Pu 1.87
5 O 0.0227 0.1383 0.8617  1 O 1.28
6 O 0.8043 0.0053 0.7502  1 Pu 1.87
7 O 0.2259 0.2768 0.9685  1 Pu 1.88
8 O 0.4251 0.7534 0.9943  1 Pu 1.96
9 O 0.0597 0.4947 0.7498  1 Pu 1.87
10 O 0.4728 0.6981 0.3019  2 Pu 2.09-2.14
11 O 0.0360 0.0174 0.9826  1 O 1.28
12 O 0.5227 0.3617 0.6383  1 O 1.29
13 O 0.4712 0.0315 0.7232  1 Pu 1.88
14 O 0.9728 0.8019 0.1981  2 Pu 2.09-2.14
15 O 0.1729 0.0057 0.2466  1 Pu 1.96
16 O 0.7886 0.7378 0.0097  1 Pu 1.95
17 O 0.0361 0.7622 0.4903  1 Pu 1.95
18 O 0.5597 0.2498 0.9947  1 Pu 1.87
19 O 0.9712 0.2232 0.5315  1 Pu 1.88
20 O 0.7259 0.4685 0.7768  1 Pu 1.88
21 O 0.2886 0.5097 0.2378  1 Pu 1.95
22 O 0.6729 0.7466 0.5056  1 Pu 1.96
23 Pu 0.2289 0.7575 0.2425  6 O 1.95-2.14
24 Pu 0.2637 0.2633 0.7367  4 O 1.87-1.88
25 Pu 0.7289 0.7425 0.2575  6 O 1.95-2.14
26 Pu 0.7637 0.2367 0.7633  4 O 1.87-1.88
27 Th 0.2421 0.2500 0.2500  8 O 2.40-2.47
28 Th 0.7421 0.7500 0.7500  8 O 2.40-2.47

- Number 1 is which compound?
  TmPuTeO2